Entry from Alexandria: a relaxed Ba2CaLaH crystal (PBE).

Results
ΔE to the lowest computed polymorph in eV per atom: 0.020
Crystal system: tetragonal
Space-group type: P4/mmm, No. 123

Cell and atoms, written as POSCAR:
```
Ba2CaLaH
1.0
6.305 0.000 0.000
0.000 6.305 0.000
0.000 0.000 4.712
Ba Ca La H
2 1 1 1
Direct
0.000 0.500 0.000
0.500 0.000 0.000
0.000 0.000 0.500
0.500 0.500 0.500
0.000 0.000 0.000
```

Entry from Alexandria: a relaxed K3Na3ZnF8 crystal (PBE).

Results
Energy relative to the elements, uncorrected in eV/atom: -2.647
Crystal system: trigonal
Space-group type: R-3m, No. 166

Cell and atoms, written as POSCAR:
```
K3Na3ZnF8
1.0
3.438 1.985 6.032
-3.438 1.985 6.032
0.000 -3.970 6.032
K Na Zn F
3 3 1 8
Direct
0.000 0.500 0.500
0.500 0.000 0.500
0.500 0.500 0.000
0.000 0.000 0.500
0.000 0.500 0.000
0.500 0.000 0.000
0.500 0.500 0.500
0.238 0.238 0.238
0.270 0.711 0.711
0.289 0.289 0.730
0.289 0.730 0.289
0.711 0.270 0.711
0.711 0.711 0.270
0.730 0.289 0.289
0.762 0.762 0.762
```

Entry from Alexandria: a relaxed TbUFe2 crystal (PBE).

Results
ΔE to the lowest computed polymorph in eV per atom: 0.000
Crystal system: orthorhombic
Space-group type: Pnma, No. 62
DFT formation energy in meV per atom: -149

Cell and atoms, written as POSCAR:
```
TbUFe2
1.0
6.426 0.000 0.000
0.000 4.850 0.000
0.000 0.000 9.476
Tb U Fe
4 4 8
Direct
0.145 0.250 0.145
0.355 0.750 0.645
0.645 0.250 0.355
0.855 0.750 0.855
0.022 0.250 0.632
0.478 0.750 0.132
0.522 0.250 0.868
0.978 0.750 0.368
0.115 0.250 0.847
0.225 0.250 0.459
0.275 0.750 0.959
0.385 0.750 0.347
0.615 0.250 0.653
0.725 0.250 0.041
0.775 0.750 0.541
0.885 0.750 0.153
```

Entry from Alexandria: a relaxed K2LiBiBr6 crystal (PBE).

Results
ΔE to the lowest computed polymorph in eV per atom: 0.000
Energy relative to the elements, uncorrected in eV/atom: -1.310
Crystal system: monoclinic
Space-group type: P2_1/c, No. 14

Cell and atoms, written as POSCAR:
```
K2LiBiBr6
1.0
7.641 0.000 0.000
0.000 7.972 0.000
-7.589 0.000 10.885
K Li Bi Br
4 2 2 12
Direct
0.224 0.075 0.248
0.224 0.425 0.748
0.776 0.575 0.252
0.776 0.925 0.752
0.000 0.000 0.500
0.000 0.500 0.000
0.500 0.000 0.000
0.500 0.500 0.500
0.143 0.202 0.949
0.143 0.298 0.449
0.254 0.698 0.952
0.254 0.802 0.452
0.343 0.021 0.744
0.343 0.479 0.244
0.657 0.521 0.756
0.657 0.979 0.256
0.746 0.198 0.548
0.746 0.302 0.048
0.857 0.702 0.551
0.857 0.798 0.051
```

Entry from Alexandria: a relaxed TaRh4Se crystal (PBE).

Results
Energy relative to the elements, uncorrected in eV/atom: 0.194
Crystal system: cubic
Space-group type: F-43m, No. 216

Cell and atoms, written as POSCAR:
```
TaRh4Se
1.0
0.000 3.638 3.638
3.638 0.000 3.638
3.638 3.638 0.000
Ta Rh Se
1 4 1
Direct
0.000 0.000 0.000
0.375 0.375 0.375
0.375 0.375 0.876
0.375 0.876 0.375
0.876 0.375 0.375
0.750 0.750 0.750
```

Entry from Alexandria: a relaxed K2BaBMo crystal (PBE).

Results
Crystal system: tetragonal
Space-group type: P4/mmm, No. 123
DFT formation energy in meV per atom: 1044

Cell and atoms, written as POSCAR:
```
K2BaBMo
1.0
6.219 0.000 0.000
0.000 6.219 0.000
0.000 0.000 4.396
K Ba B Mo
2 1 1 1
Direct
0.000 0.500 0.000
0.500 0.000 0.000
0.000 0.000 0.500
0.500 0.500 0.000
0.500 0.500 0.500
```

Entry from Alexandria: a relaxed RbPuBeS3 crystal (PBE).

Results
Energy relative to the elements, uncorrected in eV/atom: -1.348
Crystal system: monoclinic
Space-group type: P2_1/m, No. 11

Cell and atoms, written as POSCAR:
```
RbPuBeS3
1.0
9.237 0.000 0.000
0.000 3.927 0.000
-2.973 0.000 8.786
Rb Pu Be S
2 2 2 6
Direct
0.201 0.250 0.233
0.799 0.750 0.767
0.332 0.750 0.846
0.668 0.250 0.154
0.075 0.250 0.603
0.925 0.750 0.397
0.119 0.250 0.836
0.158 0.750 0.529
0.463 0.750 0.155
0.537 0.250 0.845
0.842 0.250 0.471
0.881 0.750 0.164
```

Entry from Alexandria: a relaxed Na4MnI6 crystal (PBE).

Results
Energy relative to the elements, uncorrected in eV/atom: -1.010
Crystal system: monoclinic
Space-group type: Cc, No. 9

Cell and atoms, written as POSCAR:
```
Na4MnI6
1.0
7.578 -4.329 0.000
7.578 4.329 0.000
-5.637 0.000 14.156
Na Mn I
8 2 12
Direct
0.104 0.896 0.500
0.261 0.484 0.041
0.463 0.804 0.865
0.484 0.261 0.541
0.705 0.940 0.207
0.804 0.463 0.365
0.896 0.104 0.000
0.940 0.705 0.707
0.294 0.855 0.275
0.855 0.294 0.775
0.082 0.171 0.219
0.086 0.564 0.524
0.119 0.653 0.239
0.171 0.082 0.719
0.177 0.733 0.906
0.447 0.882 0.461
0.564 0.086 0.024
0.574 0.645 0.182
0.645 0.574 0.682
0.653 0.119 0.739
0.733 0.177 0.406
0.882 0.447 0.961
```